Y2ScAl | PBE-GGA | optimized geometry

```
Y2ScAl
1.0
-1.949 4.565 1.670
-1.896 0.415 4.864
2.591 2.797 3.591
Y Sc Al
2 1 1
Cartesian
0.000 0.000 0.000
-0.314 1.944 2.531
-0.941 5.833 7.594
-0.627 3.888 5.062
```

Summary:
ΔH_f (0 K) ... -39 meV/atom


CsCuNiS2 | PBE-GGA | optimized geometry

```
CsCuNiS2
1.0
4.621 0.000 0.000
0.000 4.938 0.000
0.000 0.000 4.621
Cs Ni S Cu
1 1 2 1
Cartesian
2.310 2.469 2.310
0.000 0.000 0.000
0.000 0.000 2.310
2.310 0.000 0.000
0.000 2.469 0.000
```

Summary:
Energy above the lowest structure with this stoichiometry ... 2.89 eV/f.u.
ΔE_f (raw) ... 48 meV per atom


PtPb2 | PBE-GGA | optimized geometry

```
PtPb2
1.0
6.165 0.002 -0.011
4.958 3.663 -0.011
-6.750 -2.224 6.866
Pb Pt
4 2
Cartesian
-0.318 -0.105 0.531
-3.732 -1.230 5.288
-0.699 -0.230 4.239
2.637 0.869 2.130
6.142 2.024 2.617
7.300 2.405 0.023
```

Summary:
ΔH_f (0 K) ... -176 meV/atom


Ho4Er10Pu | PBE-GGA | optimized geometry

```
Ho4Er10Pu
1.0
-1.839 -10.166 0.030
-0.560 -5.168 -6.778
5.765 -6.291 0.384
Ho Er Pu
4 10 1
Cartesian
2.457 -10.957 -4.766
2.322 -16.175 -2.380
1.044 -5.450 -3.985
0.909 -10.667 -1.599
2.143 -8.271 -3.190
4.002 -12.912 -1.846
1.588 -3.854 -0.547
2.368 -14.509 -5.827
-1.225 -11.974 -4.510
-0.635 -8.713 -4.519
1.223 -13.354 -3.175
4.592 -9.650 -1.855
0.998 -7.115 -0.537
1.778 -17.770 -5.818
0.000 0.000 0.000
```

Summary:
ΔH_f (0 K) ... 399 meV/atom


Al2OsCl | PBE-GGA | optimized geometry

```
Al2OsCl
1.0
7.266 -0.003 -0.008
-3.138 3.631 0.003
0.991 0.909 2.401
Os Al Cl
1 2 1
Cartesian
2.064 1.814 -0.002
0.000 0.000 0.000
4.129 0.453 1.197
-1.073 2.270 1.202
```

Summary:
Energy above the lowest structure with this stoichiometry ... 1.84 eV/f.u.
ΔE_f (raw) ... -15 meV per atom


PrGd2Ag | PBE-GGA | optimized geometry

```
PrGd2Ag
1.0
-1.242 -1.920 2.866
3.002 0.898 1.903
-4.087 7.197 3.050
Pr Gd Ag
1 2 1
Cartesian
-1.163 3.088 3.910
-3.234 5.695 2.414
-0.853 1.502 0.637
0.880 -0.511 2.384
```

Summary:
Energy above the lowest structure with this stoichiometry ... 0.00 eV/f.u.
ΔH_f (0 K) ... -133 meV/atom


Pu6Ru2Au | PBE-GGA | optimized geometry

```
Pu6Ru2Au
1.0
4.667 0.000 0.000
0.000 4.667 0.000
-2.334 -2.334 10.774
Pu Ru Au
6 2 1
Cartesian
2.334 0.000 8.769
0.000 2.334 8.769
0.000 2.334 2.005
2.334 0.000 5.387
0.000 2.334 5.387
2.334 0.000 2.005
0.000 0.000 3.614
2.334 2.334 7.161
0.000 0.000 0.000
```

Summary:
ΔH_f (0 K) ... 171 meV/atom


Cs2MgIBr6 | PBE-GGA | optimized geometry

```
Cs2MgIBr6
1.0
-5.908 -2.012 -5.810
-5.303 -2.409 6.227
-7.653 3.008 0.484
Cs I Mg Br
2 1 1 6
Cartesian
-9.583 -0.607 -2.559
-9.281 -0.806 3.460
0.000 0.000 0.000
-5.606 -2.210 0.209
-6.678 0.522 0.353
-12.187 -1.935 0.549
-3.187 -1.257 0.119
-8.025 -3.164 0.299
-5.736 -2.125 -2.388
-5.475 -2.296 2.806
```

Summary:
ΔE_f (raw) ... -1084 meV per atom


ZrMnSb2 | PBE-GGA | optimized geometry

```
ZrMnSb2
1.0
7.515 0.000 -0.002
0.000 3.322 0.000
-0.426 0.000 15.493
Sb Mn Zr
8 4 4
Cartesian
2.016 0.000 12.116
5.072 0.000 3.375
2.230 1.661 4.369
4.859 1.661 11.122
1.695 0.000 1.034
5.394 0.000 14.457
1.482 1.661 8.780
5.607 1.661 6.711
6.693 0.000 12.166
0.396 0.000 3.325
6.906 1.661 4.420
0.183 1.661 11.071
0.680 0.000 6.348
6.409 0.000 9.143
0.467 1.661 14.095
6.622 1.661 1.396
```

Summary:
ΔE_f (raw) ... -168 meV per atom


Ce6C3N2O | PBE-GGA | optimized geometry

```
Ce6C3N2O
1.0
-2.312 -2.074 -1.883
4.242 0.554 -5.818
3.971 -5.372 4.545
Ce C N O
6 3 2 1
Cartesian
5.756 -3.771 -2.912
2.253 -2.864 -3.114
0.146 -3.121 -0.244
1.069 0.127 -1.453
4.832 -7.019 -1.704
3.648 -4.028 -0.042
0.965 -0.760 -3.851
1.425 -5.229 0.507
4.476 -1.663 -3.663
3.558 -4.948 -2.421
2.344 -1.945 -0.735
-1.156 -1.037 -0.942
```

Summary:
ΔE_f (raw) ... -1051 meV per atom


Ca2ErPb9 | PBE-GGA | optimized geometry

```
Ca2ErPb9
1.0
4.912 0.000 0.000
0.000 4.912 0.000
0.000 0.000 14.742
Ca Er Pb
2 1 9
Cartesian
0.000 0.000 4.876
0.000 0.000 9.866
0.000 0.000 0.000
2.456 2.456 0.000
2.456 2.456 4.901
2.456 2.456 9.841
2.456 0.000 2.421
2.456 0.000 7.371
2.456 0.000 12.321
0.000 2.456 2.421
0.000 2.456 7.371
0.000 2.456 12.321
```

Summary:
ΔH_f (0 K) ... -300 meV/atom


K2TlVSe4 | PBE-GGA | optimized geometry

```
K2TlVSe4
1.0
7.106 0.350 0.537
-2.711 6.578 -0.537
-2.711 -3.138 5.806
K Tl V Se
2 1 1 4
Cartesian
0.842 4.324 1.317
0.000 0.000 0.000
0.842 -0.534 4.489
-2.711 1.720 2.635
2.109 1.860 2.984
-1.816 -0.386 2.903
5.179 3.110 1.271
-2.104 2.995 4.455
```

Summary:
ΔE_f (raw) ... -830 meV per atom


CuAsPbO4 | PBE-GGA | optimized geometry

```
CuAsPbO4
1.0
-1.967 -4.699 -4.113
4.443 1.647 -4.007
4.045 -1.925 3.694
Cu As Pb O
2 2 2 8
Cartesian
4.361 -4.161 -4.082
2.160 -0.816 -0.343
4.545 -0.925 -2.547
1.975 -4.052 -1.878
2.291 -2.369 -5.640
4.229 -2.608 1.215
3.134 -4.871 -2.912
5.220 0.573 -3.166
3.387 -0.106 -1.513
1.301 -5.551 -1.259
3.777 -1.834 -3.773
2.744 -3.143 -0.652
5.694 -1.834 -1.647
0.827 -3.143 -2.778
```

Summary:
Energy above the lowest structure with this stoichiometry ... 0.75 eV/f.u.
ΔE_f (raw) ... -998 meV per atom


Sr2Cd3Sn2 | PBE-GGA | optimized geometry

```
Sr2Cd3Sn2
1.0
4.902 0.000 0.000
-2.451 5.957 0.025
0.000 -2.709 6.969
Sr Cd Sn
2 3 2
Cartesian
2.451 3.570 1.662
0.000 -0.323 5.331
2.451 0.000 0.000
2.451 -0.007 2.997
0.000 3.254 3.997
2.451 2.090 5.300
0.000 1.158 1.694
```

Summary:
ΔH_f (0 K) ... -401 meV/atom


HfMg | PBE-GGA | optimized geometry

```
HfMg
1.0
-0.619 2.897 1.221
-2.646 1.577 -0.886
-6.282 -2.893 7.857
Hf Mg
2 2
Cartesian
-7.853 0.600 7.178
-1.693 0.981 1.014
-4.349 -1.255 4.970
-5.197 2.836 3.222
```

Summary:
ΔH_f (0 K) ... 28 meV/atom


MnAsBr2 | PBE-GGA | optimized geometry

```
MnAsBr2
1.0
-5.852 5.563 -0.070
-7.182 3.045 -2.082
-2.003 -1.530 3.238
As Br Mn
1 2 1
Cartesian
-3.759 1.770 0.272
-3.329 -0.526 2.858
-6.193 2.535 0.923
-11.278 5.309 0.815
```

Summary:
Energy above the lowest structure with this stoichiometry ... 0.28 eV/f.u.
ΔE_f (raw) ... -159 meV per atom


LiHf2Ag2 | PBE-GGA | optimized geometry

```
LiHf2Ag2
1.0
3.725 0.000 0.000
0.000 3.725 0.000
1.863 1.863 7.640
Hf Ag Li
2 2 1
Cartesian
1.863 1.863 1.490
3.725 3.725 6.150
3.725 1.863 3.820
1.863 3.725 3.820
0.000 0.000 0.000
```

Summary:
Energy above the lowest structure with this stoichiometry ... 1.84 eV/f.u.
ΔH_f (0 K) ... 558 meV/atom


InSbTe3 | PBE-GGA | optimized geometry

```
InSbTe3
1.0
-0.517 5.776 -0.283
-3.589 -0.097 4.563
4.535 0.581 3.579
Sb Te In
1 3 1
Cartesian
0.000 0.000 0.000
-1.795 -0.049 2.281
2.267 0.290 1.790
-0.258 2.888 -0.142
0.214 3.130 3.930
```

Summary:
Energy above the lowest structure with this stoichiometry ... 2.33 eV/f.u.
ΔE_f (raw) ... 280 meV per atom


Pm3Tm8Mg | PBE-GGA | optimized geometry

```
Pm3Tm8Mg
1.0
-3.855 1.429 7.467
-6.910 -1.621 -4.721
5.007 -6.070 -3.278
Pm Tm Mg
3 8 1
Cartesian
-5.874 -2.083 -0.693
0.116 -4.180 0.161
-4.807 -2.417 3.467
-2.251 -1.235 1.723
-3.507 -5.027 -2.256
-4.069 -2.766 -4.297
-1.690 -3.497 3.764
-2.273 -1.939 -1.524
-2.526 -0.446 5.024
-3.486 -4.324 0.991
-3.232 -5.817 -5.557
1.151 -4.641 4.189
```

Summary:
ΔH_f (0 K) ... 268 meV/atom


BaHoEr | PBE-GGA | optimized geometry

```
BaHoEr
1.0
3.758 0.000 0.000
0.000 3.758 0.000
-1.879 -1.879 8.114
Ba Ho Er
1 1 1
Cartesian
0.000 0.000 0.001
0.000 0.000 5.155
1.879 1.879 2.958
```

Summary:
ΔH_f (0 K) ... 207 meV/atom


Number 1: final energy -23.16 eV per formula unit. Number 2: final energy -18.75 eV per formula unit. Number 3: final energy -13.99 eV per formula unit. Number 4: final energy -72.29 eV per formula unit. Number 5: final energy -20.62 eV per formula unit. Number 6: final energy -36.33 eV per formula unit. Number 7: final energy -106.28 eV per formula unit. Number 8: final energy -25.73 eV per formula unit. Number 9: final energy -26.64 eV per formula unit. Number 10: final energy -97.49 eV per formula unit. Number 11: final energy -45.54 eV per formula unit. Number 12: final energy -34.25 eV per formula unit. Number 13: final energy -39.27 eV per formula unit. Number 14: final energy -16.92 eV per formula unit. Number 15: final energy -11.49 eV per formula unit. Number 16: final energy -17.80 eV per formula unit. Number 17: final energy -24.73 eV per formula unit. Number 18: final energy -14.89 eV per formula unit. Number 19: final energy -48.41 eV per formula unit. Number 20: final energy -10.44 eV per formula unit.